PmSCl | PBE | optimized geometry

DFT total energy: -5.651 eV per atom
E above lowest polymorph: 101 meV per atom
symmetry: F-43m
raw formation energy: -2.08 eV per atom

Cell lengths 4.758, 4.758, 4.758 Å; angles 60.00, 60.00, 60.00 degrees
Fractional coordinates of all 3 atoms:
Cl: 0.500 0.500 0.500
Pm: 0.250 0.250 0.250
S: 0.000 0.000 0.000



ZnBPt3 | PBE | optimized geometry

DFT total energy: -5.614 eV per atom
E above lowest polymorph: 0 meV per atom
symmetry: R-3m

Cell lengths 5.588, 5.588, 6.301 Å; angles 63.68, 63.68, 60.00 degrees
Fractional coordinates of all 10 atoms:
Pt: 0.091 0.588 0.733
Pt: 0.909 0.412 0.267
B: 0.668 0.668 0.997
Pt: 0.588 0.091 0.733
Pt: 0.412 0.412 0.267
Pt: 0.588 0.588 0.733
B: 0.332 0.332 0.003
Zn: 0.892 0.892 0.325
Zn: 0.108 0.108 0.675
Pt: 0.412 0.909 0.267



Ca2MgAsN | PBE | optimized geometry

DFT total energy: -4.696 eV per atom
symmetry: P4/mmm
raw formation energy: -0.98 eV per atom

Cell lengths 4.823, 4.823, 4.206 Å; angles 90.00, 90.00, 90.00 degrees
Fractional coordinates of all 5 atoms:
N: 0.000 0.000 0.000
Ca: 0.000 0.500 0.000
Ca: 0.500 0.000 0.000
Mg: 0.000 0.000 0.500
As: 0.500 0.500 0.500